VASP calculation (PBE-GGA) on a relaxed structure of LiAsO2.

Cell lengths 2.9691, 2.9691, 17.0588 Å; angles 90.00, 90.00, 120.00 degrees
Space group R-3m (No. 166, hexagonal axes)
Symmetry-distinct sites (fractional):
Li1 0.0000 0.0000 0.0000 (multiplicity 3)
As1 0.0000 0.0000 0.5000 (multiplicity 3)
O1 0.0000 0.0000 0.3989 (multiplicity 6)

Values from the calculation:
Formation energy (no corrections): -0.9908 eV per atom
Total magnetic moment: 0.0 μB/cell
DOS(E_F): 0.000 states/eV per cell